# 1
# AcTlW, relaxed, DFT PBE
# **Electronic total energy**: -4.868 eV/atom
# **Polymorph energy (0 for the lowest one)**: 499 meV per atom
data_AcTlW
_cell_length_a 7.463
_cell_length_b 7.463
_cell_length_c 7.463
_cell_angle_alpha 90.00
_cell_angle_beta 90.00
_cell_angle_gamma 90.00
_symmetry_space_group_name_H-M 'F -4 3 m'
_symmetry_Int_Tables_number 216
_symmetry_space_group_name_Hall 'F -4 2 3'
loop_
_atom_site_label
_atom_site_type_symbol
_atom_site_fract_x
_atom_site_fract_y
_atom_site_fract_z
Ac1 Ac 0.000 0.000 0.000
Tl1 Tl 0.250 0.250 0.750
W1 W 0.250 0.250 0.250

# 2
# NaNdFeS3, relaxed, DFT PBE
# **Electronic total energy**: -5.707 eV/atom
# **Polymorph energy (0 for the lowest one)**: 0 meV per atom
data_NaNdFeS3
_cell_length_a 11.039
_cell_length_b 4.052
_cell_length_c 11.530
_cell_angle_alpha 90.00
_cell_angle_beta 90.00
_cell_angle_gamma 90.00
_symmetry_space_group_name_H-M 'P n m a'
_symmetry_Int_Tables_number 62
_symmetry_space_group_name_Hall '-P 2ac 2n'
loop_
_atom_site_label
_atom_site_type_symbol
_atom_site_fract_x
_atom_site_fract_y
_atom_site_fract_z
Na1 Na 0.163 0.250 0.009
Nd1 Nd 0.018 0.250 0.678
Fe1 Fe 0.247 0.250 0.290
S1 S 0.058 0.750 0.850
S2 S 0.114 0.250 0.441
S3 S 0.216 0.750 0.193

# 3
# CuI, relaxed, DFT PBE
# **Electronic total energy**: -2.777 eV/atom
data_CuI
_cell_length_a 4.2834
_cell_length_b 4.2834
_cell_length_c 13.9297
_cell_angle_alpha 90.00
_cell_angle_beta 90.00
_cell_angle_gamma 120.00
_symmetry_space_group_name_H-M 'P 63 m c'
_symmetry_Int_Tables_number 186
_symmetry_space_group_name_Hall 'P 6c -2c'
loop_
_atom_site_label
_atom_site_type_symbol
_atom_site_fract_x
_atom_site_fract_y
_atom_site_fract_z
Cu1 Cu 0.0000 0.0000 0.0000
Cu2 Cu 0.3333 0.6667 0.2486
I1 I 0.0000 0.0000 0.1878
I2 I 0.3333 0.6667 0.4381

# 4
# ErLuSnB, relaxed, DFT PBE
# **Electronic total energy**: -5.221 eV/atom
data_ErLuSnB
_cell_length_a 3.5961
_cell_length_b 3.5961
_cell_length_c 16.2235
_cell_angle_alpha 90.00
_cell_angle_beta 90.00
_cell_angle_gamma 120.00
_symmetry_space_group_name_H-M 'P -3 m 1'
_symmetry_Int_Tables_number 164
_symmetry_space_group_name_Hall '-P 3 2"'
loop_
_atom_site_label
_atom_site_type_symbol
_atom_site_fract_x
_atom_site_fract_y
_atom_site_fract_z
Er1 Er 0.3333 0.6667 0.0937
Lu1 Lu 0.3333 0.6667 0.4097
Sn1 Sn 0.3333 0.6667 0.7473
B1 B 0.0000 0.0000 0.0000
B2 B 0.0000 0.0000 0.5000

# 5
# Cu2Ag3, relaxed, DFT PBE
# **Electronic total energy**: -3.078 eV/atom
# **Polymorph energy (0 for the lowest one)**: 71 meV per atom
data_Cu2Ag3
_cell_length_a 4.861
_cell_length_b 2.835
_cell_length_c 11.438
_cell_angle_alpha 90.00
_cell_angle_beta 97.83
_cell_angle_gamma 90.00
_symmetry_space_group_name_H-M 'P 1 21/m 1'
_symmetry_Int_Tables_number 11
_symmetry_space_group_name_Hall '-P 2yb'
loop_
_atom_site_label
_atom_site_type_symbol
_atom_site_fract_x
_atom_site_fract_y
_atom_site_fract_z
Cu1 Cu 0.049 0.250 0.406
Cu2 Cu 0.245 0.250 0.002
Ag1 Ag 0.146 0.750 0.198
Ag2 Ag 0.351 0.750 0.810
Ag3 Ag 0.441 0.250 0.600

# 6
# YErAlCo2, relaxed, DFT PBE
# **Electronic total energy**: -6.198 eV/atom
# **Polymorph energy (0 for the lowest one)**: 0 meV per atom
data_YErAlCo2
_cell_length_a 4.043
_cell_length_b 5.428
_cell_length_c 8.223
_cell_angle_alpha 90.00
_cell_angle_beta 90.00
_cell_angle_gamma 90.00
_symmetry_space_group_name_H-M 'I m m 2'
_symmetry_Int_Tables_number 44
_symmetry_space_group_name_Hall 'I 2 -2'
loop_
_atom_site_label
_atom_site_type_symbol
_atom_site_fract_x
_atom_site_fract_y
_atom_site_fract_z
Y1 Y 0.000 0.000 0.000
Er1 Er 0.000 0.000 0.410
Al1 Al 0.000 0.500 0.205
Co1 Co 0.000 0.276 0.705

# 7
# ErTmTlTe3, relaxed, DFT PBE
# **Electronic total energy**: -4.417 eV/atom
# **Polymorph energy (0 for the lowest one)**: 0 meV per atom
data_ErTmTlTe3
_cell_length_a 4.382
_cell_length_b 15.312
_cell_length_c 11.903
_cell_angle_alpha 90.00
_cell_angle_beta 90.00
_cell_angle_gamma 90.00
_symmetry_space_group_name_H-M 'C m c m'
_symmetry_Int_Tables_number 63
_symmetry_space_group_name_Hall '-C 2c 2'
loop_
_atom_site_label
_atom_site_type_symbol
_atom_site_fract_x
_atom_site_fract_y
_atom_site_fract_z
Er1 Er 0.000 0.000 0.000
Tm1 Tm 0.000 0.436 0.250
Tl1 Tl 0.000 0.247 0.750
Te1 Te 0.000 0.065 0.250
Te2 Te 0.000 0.358 0.028

# 8
# KSmNO, relaxed, DFT PBE
# **Electronic total energy**: -5.841 eV/atom
# **Polymorph energy (0 for the lowest one)**: 126 meV per atom
data_KSmNO
_cell_length_a 3.724
_cell_length_b 3.724
_cell_length_c 4.830
_cell_angle_alpha 90.00
_cell_angle_beta 90.00
_cell_angle_gamma 90.00
_symmetry_space_group_name_H-M 'P 4/m m m'
_symmetry_Int_Tables_number 123
_symmetry_space_group_name_Hall '-P 4 2'
loop_
_atom_site_label
_atom_site_type_symbol
_atom_site_fract_x
_atom_site_fract_y
_atom_site_fract_z
K1 K 0.000 0.000 0.000
Sm1 Sm 0.500 0.500 0.500
N1 N 0.000 0.000 0.500
O1 O 0.500 0.500 0.000